1.
VASP calculation (PBE) on an optimized crystal structure of TaOsCl2.

- ΔE_f (raw): -0.366 eV/atom
- Offset from the most stable computed form: 0 meV per atom
- Crystal system: monoclinic

Cell: 3.282 3.282 9.047 Å, 83.80 83.80 65.33°
Atoms (fractional coordinates):
Cl 0.961 0.961 0.073
Cl 0.730 0.730 0.689
Os 0.582 0.582 0.458
Ta 0.227 0.227 0.280

2.
VASP calculation (PBE) on an optimized crystal structure of TaOs2Cl.

- ΔE_f (raw): 0.544 eV/atom
- Offset from the most stable computed form: 352 meV per atom
- Crystal system: orthorhombic

Cell: 2.886 2.886 8.827 Å, 90.00 90.00 115.68°
Atoms (fractional coordinates):
Os 0.000 0.000 0.013
Ta 0.500 0.500 0.250
Os 0.000 0.000 0.487
Cl 0.500 0.500 0.750

3.
VASP calculation (PBE) on an optimized crystal structure of TaOs2Cl.

- ΔE_f (raw): 0.437 eV/atom
- Offset from the most stable computed form: 245 meV per atom
- Crystal system: monoclinic

Cell: 5.214 5.214 4.391 Å, 88.58 88.58 31.96°
Atoms (fractional coordinates):
Os 0.030 0.030 0.986
Os 0.470 0.470 0.514
Ta 0.750 0.750 0.750
Cl 0.250 0.250 0.250

4.
VASP calculation (PBE) on an optimized crystal structure of TaOsCl2.

- ΔE_f (raw): 0.642 eV/atom
- Offset from the most stable computed form: 1007 meV per atom
- Crystal system: orthorhombic

Cell: 2.873 5.204 4.420 Å, 90.00 90.00 90.00°
Atoms (fractional coordinates):
Cl 0.000 0.000 0.000
Ta 0.000 0.500 0.500
Os 0.500 0.000 0.500
Cl 0.500 0.500 0.000

5.
VASP calculation (PBE) on an optimized crystal structure of TaOs4Cl.

- ΔE_f (raw): 0.959 eV/atom
- Crystal system: cubic

Cell: 5.207 5.207 5.207 Å, 60.00 60.00 60.00°
Atoms (fractional coordinates):
Os 0.875 0.375 0.375
Os 0.375 0.875 0.375
Cl 0.000 0.000 0.000
Os 0.375 0.375 0.875
Ta 0.750 0.750 0.750
Os 0.375 0.375 0.375

6.
VASP calculation (PBE) on an optimized crystal structure of TaOsCl2.

- ΔE_f (raw): 0.394 eV/atom
- Offset from the most stable computed form: 760 meV per atom
- Crystal system: trigonal

Cell: 11.158 11.158 11.158 Å, 15.14 15.14 15.14°
Atoms (fractional coordinates):
Ta 0.750 0.750 0.750
Cl 0.473 0.473 0.473
Cl 0.027 0.027 0.027
Os 0.250 0.250 0.250

7.
VASP calculation (PBE) on an optimized crystal structure of TaOsCl2.

- ΔE_f (raw): 0.832 eV/atom
- Offset from the most stable computed form: 1198 meV per atom
- Crystal system: tetragonal

Cell: 2.851 2.851 9.582 Å, 90.00 90.00 90.00°
Atoms (fractional coordinates):
Cl 0.000 0.000 0.917
Ta 0.500 0.500 0.750
Os 0.500 0.500 0.250
Cl 0.000 0.000 0.583

8.
VASP calculation (PBE) on an optimized crystal structure of TaOsCl3.

- ΔE_f (raw): 0.963 eV/atom
- Offset from the most stable computed form: 0 meV per atom
- Crystal system: cubic

Cell: 4.879 4.879 4.879 Å, 90.00 90.00 90.00°
Atoms (fractional coordinates):
Cl 0.500 0.000 0.000
Os 0.500 0.500 0.500
Cl 0.000 0.000 0.500
Ta 0.000 0.000 0.000
Cl 0.000 0.500 0.000

| no. | electronic total energy (eV per atom) |
| --- | --- |
| 1 | -7.060 |
| 2 | -8.496 |
| 3 | -8.603 |
| 4 | -6.052 |
| 5 | -8.811 |
| 6 | -6.300 |
| 7 | -5.862 |
| 8 | -4.761 |